# 1
This record from OQMD describes an optimized crystal structure of PuScGa. The functional is PBE-GGA.

Values from the calculation:
M_tot (μB/atom): 2.07
Energy (eV/atom): -7.8954
Energy above the lowest structure with this stoichiometry (kJ per mole of atoms): 0.0

Cell lengths 4.7828, 4.7828, 4.7828 Å; angles 60.00, 60.00, 60.00 degrees
Last column: nearest neighbours and their distance in Å.
Fractional coordinates of all 3 atoms:
Pu: 0.0000 0.0000 0.0000  4 Ga 2.93
Sc: 0.5000 0.5000 0.5000  4 Ga 2.93
Ga: 0.2500 0.2500 0.2500  4 Sc 2.93, 4 Pu 2.93

***

# 2
This record from OQMD describes an optimized crystal structure of HfZnCoB. The functional is PBE-GGA.

Values from the calculation:
M_tot (μB/atom): 0.00
Energy (eV/atom): -5.9588
Energy above the lowest structure with this stoichiometry (kJ per mole of atoms): 17.5

Cell lengths 4.1540, 4.1540, 4.1540 Å; angles 60.00, 60.00, 60.00 degrees
Last column: nearest neighbours and their distance in Å.
Fractional coordinates of all 4 atoms:
Hf: 0.0000 0.0000 0.0000  4 Zn 2.54, 4 Co 2.54
Zn: 0.2500 0.2500 0.2500  4 B 2.54, 4 Hf 2.54
Co: 0.7500 0.7500 0.7500  4 Hf 2.54, 4 B 2.54
B: 0.5000 0.5000 0.5000  4 Co 2.54, 4 Zn 2.54

***

# 3
This record from OQMD describes an optimized crystal structure of K3Ag. The functional is PBE-GGA.

Values from the calculation:
Energy (eV/atom): -1.5058

Cell lengths 7.7809, 7.7809, 10.8995 Å; angles 90.00, 90.00, 143.08 degrees
Last column: nearest neighbours and their distance in Å.
Fractional coordinates of all 8 atoms:
K: 0.0724 0.9276 0.7500  2 Ag 3.53
K: 0.3520 0.6480 0.5638  3 Ag 3.57-3.70
K: 0.3520 0.6480 0.9362  3 Ag 3.57-3.70
K: 0.6480 0.3520 0.0638  3 Ag 3.57-3.70
K: 0.6480 0.3520 0.4362  3 Ag 3.57-3.70
K: 0.9276 0.0724 0.2500  2 Ag 3.53
Ag: 0.2559 0.7441 0.2500  8 K 3.53-3.70
Ag: 0.7441 0.2559 0.7500  8 K 3.53-3.70

***

# 4
This record from OQMD describes an optimized crystal structure of TbBiNO. The functional is PBE-GGA.

Values from the calculation:
M_tot (μB/atom): 0.00
Energy (eV/atom): -6.5997
Energy above the lowest structure with this stoichiometry (kJ per mole of atoms): 19.1

Cell lengths 6.9411, 7.5453, 5.6810 Å; angles 90.00, 90.00, 90.00 degrees
Last column: nearest neighbours and their distance in Å.
Fractional coordinates of all 16 atoms:
Tb: 0.0953 0.1386 0.0000  1 O 2.23, 3 N 2.26-2.32
Tb: 0.4047 0.1386 0.5000  1 O 2.23, 3 N 2.26-2.32
Tb: 0.5953 0.8614 0.0000  1 O 2.23, 3 N 2.26-2.32
Tb: 0.9047 0.8614 0.5000  1 O 2.23, 3 N 2.26-2.32
Bi: 0.1233 0.6694 0.0279  1 N 2.29, 2 O 2.31-2.33
Bi: 0.3767 0.6694 0.5279  1 N 2.29, 2 O 2.31-2.33
Bi: 0.6233 0.3306 0.0279  1 N 2.29, 2 O 2.31-2.33
Bi: 0.8767 0.3306 0.5279  1 N 2.29, 2 O 2.31-2.33
N: 0.0899 0.1040 0.5942  3 Tb 2.26-2.32, 1 Bi 2.29
N: 0.4101 0.1040 0.0942  3 Tb 2.26-2.32, 1 Bi 2.29
N: 0.5899 0.8960 0.5942  3 Tb 2.26-2.32, 1 Bi 2.29
N: 0.9101 0.8960 0.0942  3 Tb 2.26-2.32, 1 Bi 2.29
O: 0.0386 0.3946 0.1820  1 Tb 2.23, 2 Bi 2.31-2.33
O: 0.4614 0.3946 0.6820  1 Tb 2.23, 2 Bi 2.31-2.33
O: 0.5386 0.6054 0.1820  1 Tb 2.23, 2 Bi 2.31-2.33
O: 0.9614 0.6054 0.6820  1 Tb 2.23, 2 Bi 2.31-2.33

***

The highest energy belongs to which entry? K3Ag

***

Please write out number 1 again, unchanged.
This record from OQMD describes an optimized crystal structure of PuScGa. The functional is PBE-GGA.

Values from the calculation:
M_tot (μB/atom): 2.07
Energy (eV/atom): -7.8954
Energy above the lowest structure with this stoichiometry (kJ per mole of atoms): 0.0

Cell lengths 4.7828, 4.7828, 4.7828 Å; angles 60.00, 60.00, 60.00 degrees
Last column: nearest neighbours and their distance in Å.
Fractional coordinates of all 3 atoms:
Pu: 0.0000 0.0000 0.0000  4 Ga 2.93
Sc: 0.5000 0.5000 0.5000  4 Ga 2.93
Ga: 0.2500 0.2500 0.2500  4 Sc 2.93, 4 Pu 2.93